# GdTmIrAu, relaxed, DFT PBE-GGA
# - Formation energy from the elements: -0.82 eV per atom
# - Total DFT energy (no corrections): -8.494 eV/atom
# - Calculated density: 13.8 g cm⁻³
data_GdTmIrAu
_space_group_name_H-M_alt 'F -4 3 m'
_space_group_IT_number 216
_space_group_name_Hall 'F -4 2 3'
_cell_length_a 7.014
_cell_length_b 7.014
_cell_length_c 7.014
_cell_angle_alpha 90.00
_cell_angle_beta 90.00
_cell_angle_gamma 90.00
loop_
_atom_site_label
_atom_site_type_symbol
_atom_site_fract_x
_atom_site_fract_y
_atom_site_fract_z
Gd1 Gd 0.000 0.000 0.000
Tm1 Tm 0.000 0.000 0.500
Ir1 Ir 0.250 0.250 0.750
Au1 Au 0.250 0.250 0.250

***

# Dy2ZrSc2, relaxed, DFT PBE-GGA
# - Formation energy from the elements: 0.11 eV per atom
# - Total DFT energy (no corrections): -5.977 eV/atom
# - Calculated density: 6.1 g cm⁻³
data_Dy2ZrSc2
_space_group_name_H-M_alt 'C 1 2/m 1'
_space_group_IT_number 12
_space_group_name_Hall '-C 2y'
_cell_length_a 8.404
_cell_length_b 8.944
_cell_length_c 8.295
_cell_angle_alpha 90.00
_cell_angle_beta 118.64
_cell_angle_gamma 90.00
loop_
_atom_site_label
_atom_site_type_symbol
_atom_site_fract_x
_atom_site_fract_y
_atom_site_fract_z
Dy1 Dy 0.167 0.000 0.416
Dy2 Dy 0.220 0.500 0.119
Zr1 Zr 0.000 0.163 0.000
Sc1 Sc 0.062 0.322 0.714

***

# CdTeW2, relaxed, DFT PBE-GGA
# - Total DFT energy (no corrections): -6.410 eV/atom
# - Energy above the most stable polymorph in this dataset: 2.59 eV/f.u.
# - Raw formation energy: 417 kJ/mol of formula units
# - Calculated density: 13.2 g cm⁻³
data_CdTeW2
_space_group_name_H-M_alt 'C m m m'
_space_group_IT_number 65
_space_group_name_Hall '-C 2 2'
_cell_length_a 3.218
_cell_length_b 4.799
_cell_length_c 9.920
_cell_angle_alpha 90.00
_cell_angle_beta 90.00
_cell_angle_gamma 90.00
loop_
_atom_site_label
_atom_site_type_symbol
_atom_site_fract_x
_atom_site_fract_y
_atom_site_fract_z
Cd1 Cd 0.000 0.000 0.000
Te1 Te 0.000 0.000 0.500
W1 W 0.000 0.500 0.248

***

# Ho2ErBi, relaxed, DFT PBE-GGA
# - Formation energy from the elements: -0.31 eV per atom
# - Total DFT energy (no corrections): -4.712 eV/atom
# - Energy above the most stable polymorph in this dataset: 0.33 eV/f.u.
# - Calculated density: 10.4 g cm⁻³
data_Ho2ErBi
_space_group_name_H-M_alt 'P 4/m m m'
_space_group_IT_number 123
_space_group_name_Hall '-P 4 2'
_cell_length_a 4.834
_cell_length_b 4.834
_cell_length_c 4.831
_cell_angle_alpha 90.00
_cell_angle_beta 90.00
_cell_angle_gamma 90.00
loop_
_atom_site_label
_atom_site_type_symbol
_atom_site_fract_x
_atom_site_fract_y
_atom_site_fract_z
Ho1 Ho 0.000 0.500 0.000
Er1 Er 0.000 0.000 0.500
Bi1 Bi 0.500 0.500 0.500

***

# Mg3TlPt, relaxed, DFT PBE-GGA
# - Formation energy from the elements: -0.30 eV per atom
# - Total DFT energy (no corrections): -2.938 eV/atom
# - Energy above the most stable polymorph in this dataset: 0.00 eV/f.u.
# - Calculated density: 6.1 g cm⁻³
data_Mg3TlPt
_space_group_name_H-M_alt 'P m -3 m'
_space_group_IT_number 221
_space_group_name_Hall '-P 4 2 3'
_cell_length_a 5.060
_cell_length_b 5.060
_cell_length_c 5.060
_cell_angle_alpha 90.00
_cell_angle_beta 90.00
_cell_angle_gamma 90.00
loop_
_atom_site_label
_atom_site_type_symbol
_atom_site_fract_x
_atom_site_fract_y
_atom_site_fract_z
Mg1 Mg 0.000 0.000 0.500
Tl1 Tl 0.500 0.500 0.500
Pt1 Pt 0.000 0.000 0.000

***

# KLa2Si, relaxed, DFT PBE-GGA
# - Total DFT energy (no corrections): -4.297 eV/atom
# - Raw formation energy: -79 kJ/mol of formula units
# - Calculated density: 3.2 g cm⁻³
data_KLa2Si
_space_group_name_H-M_alt 'R -3 m'
_space_group_IT_number 166
_space_group_name_Hall '-R 3 2"'
_cell_length_a 4.2300
_cell_length_b 4.2300
_cell_length_c 34.2373
_cell_angle_alpha 90.00
_cell_angle_beta 90.00
_cell_angle_gamma 120.00
loop_
_atom_site_label
_atom_site_type_symbol
_atom_site_fract_x
_atom_site_fract_y
_atom_site_fract_z
K1 K 0.0000 0.0000 0.0000
La1 La 0.0000 0.0000 0.2154
Si1 Si 0.0000 0.0000 0.5000

***

# Zr5Rh3, relaxed, DFT PBE-GGA
# - Formation energy from the elements: -0.54 eV per atom
# - Total DFT energy (no corrections): -8.639 eV/atom
# - Energy above the most stable polymorph in this dataset: 0.59 eV/f.u.
# - Calculated density: 8.5 g cm⁻³
data_Zr5Rh3
_space_group_name_H-M_alt 'C m m m'
_space_group_IT_number 65
_space_group_name_Hall '-C 2 2'
_cell_length_a 6.822
_cell_length_b 9.268
_cell_length_c 4.753
_cell_angle_alpha 90.00
_cell_angle_beta 90.00
_cell_angle_gamma 90.00
loop_
_atom_site_label
_atom_site_type_symbol
_atom_site_fract_x
_atom_site_fract_y
_atom_site_fract_z
Zr1 Zr 0.000 0.000 0.000
Zr2 Zr 0.240 0.500 0.500
Zr3 Zr 0.250 0.250 0.000
Rh1 Rh 0.000 0.245 0.500
Rh2 Rh 0.000 0.500 0.000

***

# LaIr2Os, relaxed, DFT PBE-GGA
# - Formation energy from the elements: 0.19 eV per atom
# - Total DFT energy (no corrections): -8.284 eV/atom
# - Energy above the most stable polymorph in this dataset: 0.56 eV/f.u.
# - Calculated density: 15.5 g cm⁻³
data_LaIr2Os
_space_group_name_H-M_alt 'C 1 2/m 1'
_space_group_IT_number 12
_space_group_name_Hall '-C 2y'
_cell_length_a 8.949
_cell_length_b 2.860
_cell_length_c 6.062
_cell_angle_alpha 90.00
_cell_angle_beta 99.60
_cell_angle_gamma 90.00
loop_
_atom_site_label
_atom_site_type_symbol
_atom_site_fract_x
_atom_site_fract_y
_atom_site_fract_z
La1 La 0.000 0.000 0.000
Ir1 Ir 0.243 0.000 0.676
Os1 Os 0.000 0.500 0.500

***

# CrGa2Br, relaxed, DFT PBE-GGA
# - Total DFT energy (no corrections): -3.370 eV/atom
# - Energy above the most stable polymorph in this dataset: 2.70 eV/f.u.
# - Raw formation energy: 373 kJ/mol of formula units
# - Calculated density: 6.0 g cm⁻³
data_CrGa2Br
_space_group_name_H-M_alt 'F m -3 m'
_space_group_IT_number 225
_space_group_name_Hall '-F 4 2 3'
_cell_length_a 6.688
_cell_length_b 6.688
_cell_length_c 6.688
_cell_angle_alpha 90.00
_cell_angle_beta 90.00
_cell_angle_gamma 90.00
loop_
_atom_site_label
_atom_site_type_symbol
_atom_site_fract_x
_atom_site_fract_y
_atom_site_fract_z
Cr1 Cr 0.000 0.000 0.000
Ga1 Ga 0.250 0.250 0.250
Br1 Br 0.000 0.000 0.500

***

# Tb4Nd5Cd2, relaxed, DFT PBE-GGA
# - Formation energy from the elements: -0.01 eV per atom
# - Total DFT energy (no corrections): -4.023 eV/atom
# - Calculated density: 7.5 g cm⁻³
data_Tb4Nd5Cd2
_space_group_name_H-M_alt 'P 1 2/m 1'
_space_group_IT_number 10
_space_group_name_Hall '-P 2y'
_cell_length_a 8.890
_cell_length_b 3.572
_cell_length_c 11.071
_cell_angle_alpha 90.00
_cell_angle_beta 94.22
_cell_angle_gamma 90.00
loop_
_atom_site_label
_atom_site_type_symbol
_atom_site_fract_x
_atom_site_fract_y
_atom_site_fract_z
Tb1 Tb 0.160 0.000 0.374
Tb2 Tb 0.233 0.000 0.944
Nd1 Nd 0.195 0.500 0.659
Nd2 Nd 0.453 0.500 0.178
Nd3 Nd 0.500 0.500 0.500
Cd1 Cd 0.068 0.500 0.137

***

# AlMoIr2, relaxed, DFT PBE-GGA
# - Formation energy from the elements: -0.31 eV per atom
# - Total DFT energy (no corrections): -8.381 eV/atom
# - Energy above the most stable polymorph in this dataset: 1.22 eV/f.u.
# - Calculated density: 14.3 g cm⁻³
data_AlMoIr2
_space_group_name_H-M_alt 'I m m 2'
_space_group_IT_number 44
_space_group_name_Hall 'I 2 -2'
_cell_length_a 2.907
_cell_length_b 4.463
_cell_length_c 9.057
_cell_angle_alpha 90.00
_cell_angle_beta 90.00
_cell_angle_gamma 90.00
loop_
_atom_site_label
_atom_site_type_symbol
_atom_site_fract_x
_atom_site_fract_y
_atom_site_fract_z
Al1 Al 0.000 0.000 0.000
Mo1 Mo 0.000 0.500 0.259
Ir1 Ir 0.000 0.000 0.499
Ir2 Ir 0.000 0.500 0.721

***

# Zr2SbSe, relaxed, DFT PBE-GGA
# - Total DFT energy (no corrections): -6.246 eV/atom
# - Energy above the most stable polymorph in this dataset: 3.43 eV/f.u.
# - Raw formation energy: -27 kJ/mol of formula units
# - Calculated density: 7.2 g cm⁻³
data_Zr2SbSe
_space_group_name_H-M_alt 'F -4 3 m'
_space_group_IT_number 216
_space_group_name_Hall 'F -4 2 3'
_cell_length_a 7.061
_cell_length_b 7.061
_cell_length_c 7.061
_cell_angle_alpha 90.00
_cell_angle_beta 90.00
_cell_angle_gamma 90.00
loop_
_atom_site_label
_atom_site_type_symbol
_atom_site_fract_x
_atom_site_fract_y
_atom_site_fract_z
Zr1 Zr 0.000 0.000 0.000
Zr2 Zr 0.250 0.250 0.250
Sb1 Sb 0.250 0.250 0.750
Se1 Se 0.000 0.000 0.500

***

# TiI2NO, relaxed, DFT PBE-GGA
# - Total DFT energy (no corrections): -3.595 eV/atom
# - Energy above the most stable polymorph in this dataset: 6.43 eV/f.u.
# - Raw formation energy: 608 kJ/mol of formula units
# - Calculated density: 6.2 g cm⁻³
data_TiI2NO
_space_group_name_H-M_alt 'P 4/m m m'
_space_group_IT_number 123
_space_group_name_Hall '-P 4 2'
_cell_length_a 4.846
_cell_length_b 4.846
_cell_length_c 3.809
_cell_angle_alpha 90.00
_cell_angle_beta 90.00
_cell_angle_gamma 90.00
loop_
_atom_site_label
_atom_site_type_symbol
_atom_site_fract_x
_atom_site_fract_y
_atom_site_fract_z
Ti1 Ti 0.000 0.000 0.000
I1 I 0.000 0.500 0.500
N1 N 0.500 0.500 0.000
O1 O 0.500 0.500 0.500

***

# CeDy6Te8, relaxed, DFT PBE-GGA
# - Total DFT energy (no corrections): -5.259 eV/atom
# - Energy above the most stable polymorph in this dataset: 0.00 eV/f.u.
# - Raw formation energy: -1950 kJ/mol of formula units
# - Calculated density: 7.6 g cm⁻³
data_CeDy6Te8
_space_group_name_H-M_alt 'F m -3 m'
_space_group_IT_number 225
_space_group_name_Hall '-F 4 2 3'
_cell_length_a 12.295
_cell_length_b 12.295
_cell_length_c 12.295
_cell_angle_alpha 90.00
_cell_angle_beta 90.00
_cell_angle_gamma 90.00
loop_
_atom_site_label
_atom_site_type_symbol
_atom_site_fract_x
_atom_site_fract_y
_atom_site_fract_z
Ce1 Ce 0.000 0.000 0.000
Dy1 Dy 0.000 0.250 0.250
Te1 Te 0.000 0.000 0.261
Te2 Te 0.250 0.250 0.250

***

# Pm2PuGa, relaxed, DFT PBE-GGA
# - Formation energy from the elements: -0.16 eV per atom
# - Total DFT energy (no corrections): -6.877 eV/atom
# - Energy above the most stable polymorph in this dataset: 0.00 eV/f.u.
# - Calculated density: 9.0 g cm⁻³
data_Pm2PuGa
_space_group_name_H-M_alt 'P 4/m m m'
_space_group_IT_number 123
_space_group_name_Hall '-P 4 2'
_cell_length_a 3.595
_cell_length_b 3.595
_cell_length_c 8.665
_cell_angle_alpha 90.00
_cell_angle_beta 90.00
_cell_angle_gamma 90.00
loop_
_atom_site_label
_atom_site_type_symbol
_atom_site_fract_x
_atom_site_fract_y
_atom_site_fract_z
Pm1 Pm 0.000 0.000 0.216
Pu1 Pu 0.500 0.500 0.500
Ga1 Ga 0.500 0.500 0.000

***

# AlV2HgW, relaxed, DFT PBE-GGA
# - Formation energy from the elements: 1.14 eV per atom
# - Total DFT energy (no corrections): -5.906 eV/atom
# - Calculated density: 7.8 g cm⁻³
data_AlV2HgW
_space_group_name_H-M_alt 'P 4/m m m'
_space_group_IT_number 123
_space_group_name_Hall '-P 4 2'
_cell_length_a 4.695
_cell_length_b 4.695
_cell_length_c 4.940
_cell_angle_alpha 90.00
_cell_angle_beta 90.00
_cell_angle_gamma 90.00
loop_
_atom_site_label
_atom_site_type_symbol
_atom_site_fract_x
_atom_site_fract_y
_atom_site_fract_z
Al1 Al 0.000 0.000 0.000
V1 V 0.000 0.500 0.500
Hg1 Hg 0.500 0.500 0.000
W1 W 0.000 0.000 0.500

***

# Sb4Se5, relaxed, DFT PBE-GGA
# - Total DFT energy (no corrections): -3.444 eV/atom
# - Energy above the most stable polymorph in this dataset: 2.86 eV/f.u.
# - Raw formation energy: 282 kJ/mol of formula units
# - Calculated density: 6.9 g cm⁻³
data_Sb4Se5
_space_group_name_H-M_alt 'I 4/m m m'
_space_group_IT_number 139
_space_group_name_Hall '-I 4 2'
_cell_length_a 10.897
_cell_length_b 10.897
_cell_length_c 3.594
_cell_angle_alpha 90.00
_cell_angle_beta 90.00
_cell_angle_gamma 90.00
loop_
_atom_site_label
_atom_site_type_symbol
_atom_site_fract_x
_atom_site_fract_y
_atom_site_fract_z
Sb1 Sb 0.000 0.313 0.000
Se1 Se 0.000 0.000 0.000
Se2 Se 0.161 0.161 0.500

***

# FeTePtI2, relaxed, DFT PBE-GGA
# - Total DFT energy (no corrections): -3.384 eV/atom
# - Energy above the most stable polymorph in this dataset: 0.00 eV/f.u.
# - Raw formation energy: 369 kJ/mol of formula units
# - Calculated density: 6.5 g cm⁻³
data_FeTePtI2
_space_group_name_H-M_alt 'P 4/m m m'
_space_group_IT_number 123
_space_group_name_Hall '-P 4 2'
_cell_length_a 5.495
_cell_length_b 5.495
_cell_length_c 5.316
_cell_angle_alpha 90.00
_cell_angle_beta 90.00
_cell_angle_gamma 90.00
loop_
_atom_site_label
_atom_site_type_symbol
_atom_site_fract_x
_atom_site_fract_y
_atom_site_fract_z
Fe1 Fe 0.000 0.000 0.000
Te1 Te 0.500 0.500 0.000
Pt1 Pt 0.500 0.500 0.500
I1 I 0.000 0.500 0.500

***

# AcTm2MgAu4, relaxed, DFT PBE-GGA
# - Formation energy from the elements: -0.78 eV per atom
# - Total DFT energy (no corrections): -4.249 eV/atom
# - Calculated density: 11.9 g cm⁻³
data_AcTm2MgAu4
_space_group_name_H-M_alt 'R -3 m'
_space_group_IT_number 166
_space_group_name_Hall '-R 3 2"'
_cell_length_a 4.9658
_cell_length_b 4.9658
_cell_length_c 26.9725
_cell_angle_alpha 90.00
_cell_angle_beta 90.00
_cell_angle_gamma 120.00
loop_
_atom_site_label
_atom_site_type_symbol
_atom_site_fract_x
_atom_site_fract_y
_atom_site_fract_z
Ac1 Ac 0.0000 0.0000 0.0000
Tm1 Tm 0.0000 0.0000 0.2343
Mg1 Mg 0.0000 0.0000 0.5000
Au1 Au 0.0000 0.0000 0.1234
Au2 Au 0.0000 0.0000 0.3975

***

# Rb3Pa3Te8Rh, relaxed, DFT PBE-GGA
# - Total DFT energy (no corrections): -5.047 eV/atom
# - Raw formation energy: -1142 kJ/mol of formula units
# - Calculated density: 6.0 g cm⁻³
data_Rb3Pa3Te8Rh
_space_group_name_H-M_alt 'R -3 m'
_space_group_IT_number 166
_space_group_name_Hall '-R 3 2"'
_cell_length_a 8.5783
_cell_length_b 8.5783
_cell_length_c 27.0297
_cell_angle_alpha 90.00
_cell_angle_beta 90.00
_cell_angle_gamma 120.00
loop_
_atom_site_label
_atom_site_type_symbol
_atom_site_fract_x
_atom_site_fract_y
_atom_site_fract_z
Rb1 Rb 0.0000 0.5000 0.0000
Pa1 Pa 0.0000 0.5000 0.5000
Te1 Te 0.0000 0.0000 0.2363
Te2 Te 0.0271 0.5135 0.2291
Rh1 Rh 0.0000 0.0000 0.5000